VASP calculation (PBE-GGA) on a geometry-optimized CrTe2Au structure.

Cell lengths 8.2503, 7.0819, 4.2268 Å; angles 72.72, 89.98, 73.74 degrees
Closest atoms and distances in Å follow each position.
Positions (direct):
Cr (0.4383, 0.2155, 0.0114)  1 Cr 1.82
Cr (0.2124, 0.2393, 0.9997)  1 Cr 1.82
Te (0.7253, 0.4452, 0.8969)  2 Au 2.71, 1 Te 2.93
Te (0.4697, 0.9580, 0.6395)  2 Cr 2.70, 1 Au 2.74
Te (0.9256, 0.0095, 0.1143)  2 Au 2.71, 1 Te 2.93
Te (0.1812, 0.4968, 0.3715)  2 Cr 2.70, 1 Au 2.74
Au (0.5270, 0.4163, 0.4114)  3 Te 2.71-2.74, 2 Cr 2.73
Au (0.1239, 0.0384, 0.5998)  3 Te 2.71-2.74, 2 Cr 2.73

Properties
M_tot = 0.000 μB/f.u.
raw formation energy = 59 meV per atom
space-group type = P-1
energy above the lowest structure with this stoichiometry = 178.2 meV per atom